Record 1
Pm2Nd2Sc3 | PBE-GGA | optimized geometry

Unit cell a=6.1552 b=11.1365 c=6.2711 alpha=90.00 beta=94.32 gamma=90.00
Space group P2_1/c (No. 14)
Symmetry-distinct sites (fractional):
1 Pm 0.0931 0.2214 0.2753 (multiplicity 4)
2 Nd 0.4497 0.6537 0.5413 (multiplicity 4)
3 Sc 0.0000 0.0000 0.0000 (multiplicity 2)
4 Sc 0.2557 0.5292 0.0479 (multiplicity 4)

Total magnetization = 0.00 μB per formula unit

---

Record 2
CsNa2Zn2As2 | PBE-GGA | optimized geometry

Unit cell a=10.2382 b=4.2462 c=10.2690 alpha=90.00 beta=112.71 gamma=90.00
Space group C2/m (No. 12)
Symmetry-distinct sites (fractional):
1 Cs 0.0000 0.0000 0.0000 (multiplicity 2)
2 Na 0.1104 0.0000 0.3957 (multiplicity 4)
3 Zn 0.1094 0.5000 0.6247 (multiplicity 4)
4 As 0.2196 0.0000 0.7255 (multiplicity 4)

Total magnetization = 0.00 μB per formula unit

---

Record 3
CsIn2NiHg | PBE-GGA | optimized geometry

Unit cell a=5.1481 b=5.1481 c=5.4509 alpha=90.00 beta=90.00 gamma=90.00
Space group P4/mmm (No. 123)
Symmetry-distinct sites (fractional):
1 Cs 0.0000 0.0000 0.0000 (multiplicity 1)
2 In 0.0000 0.5000 0.5000 (multiplicity 2)
3 Ni 0.5000 0.5000 0.5000 (multiplicity 1)
4 Hg 0.5000 0.5000 0.0000 (multiplicity 1)

Total magnetization = 0.00 μB per formula unit

---

Record 4
RbTcBiS2 | PBE-GGA | optimized geometry

Unit cell a=5.5627 b=5.5627 c=5.3391 alpha=90.00 beta=90.00 gamma=90.00
Space group P4/mmm (No. 123)
Symmetry-distinct sites (fractional):
1 Rb 0.0000 0.0000 0.0000 (multiplicity 1)
2 Tc 0.5000 0.5000 0.0000 (multiplicity 1)
3 Bi 0.5000 0.5000 0.5000 (multiplicity 1)
4 S 0.0000 0.5000 0.5000 (multiplicity 2)

Formation energy without anion corrections = 0.5940 eV per atom
Total magnetization = 4.44 μB per formula unit

---

Record 5
CuHg2F4 | PBE-GGA | optimized geometry

Unit cell a=6.6793 b=6.6793 c=5.7169 alpha=90.00 beta=90.00 gamma=90.00
Space group I-42m (No. 121)
Symmetry-distinct sites (fractional):
1 Cu 0.0000 0.0000 0.0000 (multiplicity 2)
2 Hg 0.0000 0.5000 0.2500 (multiplicity 4)
3 F 0.2007 0.2007 0.0084 (multiplicity 8)

Formation energy without anion corrections = -1.1479 eV per atom
ΔE to the lowest computed polymorph = 89 meV per atom
Total magnetization = 1.09 μB per formula unit

---

Record 6
Nd3AlIn3 | PBE-GGA | optimized geometry

Unit cell a=11.6903 b=4.6837 c=15.3947 alpha=90.00 beta=108.91 gamma=90.00
Space group C2/m (No. 12)
Symmetry-distinct sites (fractional):
1 Nd 0.0242 0.0000 0.3818 (multiplicity 4)
2 Nd 0.1038 0.0000 0.9222 (multiplicity 4)
3 Nd 0.2377 0.0000 0.2271 (multiplicity 4)
4 Al 0.2339 0.5000 0.3818 (multiplicity 4)
5 In 0.0203 0.5000 0.2322 (multiplicity 4)
6 In 0.1159 0.5000 0.0757 (multiplicity 4)
7 In 0.1436 0.5000 0.5418 (multiplicity 4)

Total magnetization = 0.14 μB per formula unit

---

Record 7
La2CoCu | PBE-GGA | optimized geometry

Unit cell a=4.1564 b=4.1564 c=21.3269 alpha=90.00 beta=90.00 gamma=120.00
Space group R3m (No. 160, hexagonal axes)
Symmetry-distinct sites (fractional):
1 La 0.0000 0.0000 0.0000 (multiplicity 3)
2 La 0.0000 0.0000 0.1726 (multiplicity 3)
3 Co 0.0000 0.0000 0.7542 (multiplicity 3)
4 Cu 0.0000 0.0000 0.4196 (multiplicity 3)

Total magnetization = 0.00 μB per formula unit

---

Record 8
In2PdI2 | PBE-GGA | optimized geometry

Unit cell a=6.4359 b=6.4359 c=8.3350 alpha=90.00 beta=90.00 gamma=90.00
Space group I4/mmm (No. 139)
Symmetry-distinct sites (fractional):
1 In 0.0000 0.0000 0.1801 (multiplicity 4)
2 Pd 0.0000 0.0000 0.5000 (multiplicity 2)
3 I 0.0000 0.5000 0.2500 (multiplicity 4)

Formation energy without anion corrections = 0.0353 eV per atom
ΔE to the lowest computed polymorph = 89 meV per atom
Total magnetization = 0.00 μB per formula unit

---

E (computed, eV per atom): -5.233 -2.527 -2.531 -4.100 -2.889 -4.206 -5.344 -2.719